## GdHfAl (GGA-PBE)

Data for a relaxed GdHfAl crystal.

CIF file:
```
data_GdHfAl
_cell_length_a 4.9315
_cell_length_b 4.9315
_cell_length_c 3.3521
_cell_angle_alpha 90.00
_cell_angle_beta 90.00
_cell_angle_gamma 120.00
_symmetry_space_group_name_H-M 'P 3 m 1'
_symmetry_Int_Tables_number 156
loop_
_symmetry_equiv_pos_as_xyz
'x,y,z'
'-y,x-y,z'
'-x+y,-x,z'
'-y,-x,z'
'-x+y,y,z'
'x,x-y,z'
loop_
_atom_site_label
_atom_site_type_symbol
_atom_site_fract_x
_atom_site_fract_y
_atom_site_fract_z
Gd1 Gd 0.0000 0.0000 0.0000
Hf1 Hf 0.3333 0.6667 0.4585
Al1 Al 0.6667 0.3333 0.5972
```

Offset from the most stable computed form, meV/atom: 144
Energy relative to the elements, eV per atom: -0.01

***

## PmBe2InPt5 (GGA-PBE)

Data for a relaxed PmBe2InPt5 crystal.

CIF file:
```
data_PmBe2InPt5
_cell_length_a 4.168
_cell_length_b 4.168
_cell_length_c 8.548
_cell_angle_alpha 90.00
_cell_angle_beta 90.00
_cell_angle_gamma 90.00
_symmetry_space_group_name_H-M 'P 4/m m m'
_symmetry_Int_Tables_number 123
_symmetry_space_group_name_Hall '-P 4 2'
loop_
_atom_site_label
_atom_site_type_symbol
_atom_site_fract_x
_atom_site_fract_y
_atom_site_fract_z
Pm1 Pm 0.000 0.000 0.000
Be1 Be 0.500 0.500 0.352
In1 In 0.000 0.000 0.500
Pt1 Pt 0.000 0.500 0.259
Pt2 Pt 0.500 0.500 0.000
```

Energy relative to the elements, eV per atom: -0.64

***

## La3GeBi (GGA-PBE)

Data for a relaxed La3GeBi crystal.

CIF file:
```
data_La3GeBi
_cell_length_a 4.616
_cell_length_b 12.490
_cell_length_c 11.614
_cell_angle_alpha 90.00
_cell_angle_beta 90.00
_cell_angle_gamma 90.00
_symmetry_space_group_name_H-M 'C m c m'
_symmetry_Int_Tables_number 63
_symmetry_space_group_name_Hall '-C 2c 2'
loop_
_atom_site_label
_atom_site_type_symbol
_atom_site_fract_x
_atom_site_fract_y
_atom_site_fract_z
La1 La 0.000 0.057 0.250
La2 La 0.000 0.352 0.054
Ge1 Ge 0.000 0.000 0.000
Bi1 Bi 0.000 0.243 0.750
```

Offset from the most stable computed form, meV/atom: 0
Energy relative to the elements, eV per atom: -0.79

***

## Ga2HgPt9 (GGA-PBE)

Data for a relaxed Ga2HgPt9 crystal.

CIF file:
```
data_Ga2HgPt9
_cell_length_a 3.983
_cell_length_b 3.983
_cell_length_c 11.997
_cell_angle_alpha 90.00
_cell_angle_beta 90.00
_cell_angle_gamma 90.00
_symmetry_space_group_name_H-M 'P 4/m m m'
_symmetry_Int_Tables_number 123
_symmetry_space_group_name_Hall '-P 4 2'
loop_
_atom_site_label
_atom_site_type_symbol
_atom_site_fract_x
_atom_site_fract_y
_atom_site_fract_z
Ga1 Ga 0.000 0.000 0.166
Hg1 Hg 0.000 0.000 0.500
Pt1 Pt 0.000 0.500 0.000
Pt2 Pt 0.000 0.500 0.321
Pt3 Pt 0.500 0.500 0.160
Pt4 Pt 0.500 0.500 0.500
```

Energy relative to the elements, eV per atom: -0.28

***

## TiTcBi2Te (GGA-PBE)

Data for a relaxed TiTcBi2Te crystal.

CIF file:
```
data_TiTcBi2Te
_cell_length_a 5.300
_cell_length_b 5.300
_cell_length_c 4.902
_cell_angle_alpha 90.00
_cell_angle_beta 90.00
_cell_angle_gamma 90.00
_symmetry_space_group_name_H-M 'P 4/m m m'
_symmetry_Int_Tables_number 123
_symmetry_space_group_name_Hall '-P 4 2'
loop_
_atom_site_label
_atom_site_type_symbol
_atom_site_fract_x
_atom_site_fract_y
_atom_site_fract_z
Ti1 Ti 0.000 0.000 0.000
Tc1 Tc 0.000 0.000 0.500
Bi1 Bi 0.000 0.500 0.500
Te1 Te 0.500 0.500 0.000
```

Offset from the most stable computed form, meV/atom: 0
Energy relative to the elements, uncorrected, eV per atom: 0.422

***

## CeSi3Pd5 (GGA-PBE)

Data for a relaxed CeSi3Pd5 crystal.

CIF file:
```
data_CeSi3Pd5
_cell_length_a 3.919
_cell_length_b 12.585
_cell_length_c 12.605
_cell_angle_alpha 90.00
_cell_angle_beta 90.00
_cell_angle_gamma 90.00
_symmetry_space_group_name_H-M 'C m c m'
_symmetry_Int_Tables_number 63
_symmetry_space_group_name_Hall '-C 2c 2'
loop_
_atom_site_label
_atom_site_type_symbol
_atom_site_fract_x
_atom_site_fract_y
_atom_site_fract_z
Ce1 Ce 0.000 0.149 0.250
Si1 Si 0.000 0.120 0.750
Si2 Si 0.000 0.386 0.541
Pd1 Pd 0.000 0.000 0.000
Pd2 Pd 0.000 0.206 0.574
Pd3 Pd 0.000 0.446 0.145
```

Energy relative to the elements, uncorrected, eV per atom: -0.716

***

## CuAs2F (GGA-PBE)

Data for a relaxed CuAs2F crystal.

CIF file:
```
data_CuAs2F
_cell_length_a 6.098
_cell_length_b 6.098
_cell_length_c 6.098
_cell_angle_alpha 90.00
_cell_angle_beta 90.00
_cell_angle_gamma 90.00
_symmetry_space_group_name_H-M 'F m -3 m'
_symmetry_Int_Tables_number 225
_symmetry_space_group_name_Hall '-F 4 2 3'
loop_
_atom_site_label
_atom_site_type_symbol
_atom_site_fract_x
_atom_site_fract_y
_atom_site_fract_z
Cu1 Cu 0.000 0.000 0.000
As1 As 0.250 0.250 0.250
F1 F 0.000 0.000 0.500
```

Offset from the most stable computed form, meV/atom: 0
Energy relative to the elements, uncorrected, eV per atom: -0.253

***

## Sc6Ga3O (GGA-PBE)

Data for a relaxed Sc6Ga3O crystal.

CIF file:
```
data_Sc6Ga3O
_cell_length_a 10.878
_cell_length_b 12.821
_cell_length_c 5.772
_cell_angle_alpha 90.00
_cell_angle_beta 90.00
_cell_angle_gamma 90.00
_symmetry_space_group_name_H-M 'C m c 21'
_symmetry_Int_Tables_number 36
loop_
_symmetry_equiv_pos_as_xyz
'x,y,z'
'-x,-y,z+1/2'
'-x,y,z'
'x,-y,z+1/2'
'x+1/2,y+1/2,z'
'-x+1/2,-y+1/2,z+1/2'
'-x+1/2,y+1/2,z'
'x+1/2,-y+1/2,z+1/2'
loop_
_atom_site_label
_atom_site_type_symbol
_atom_site_fract_x
_atom_site_fract_y
_atom_site_fract_z
Sc1 Sc 0.000 0.085 0.000
Sc2 Sc 0.000 0.306 0.718
Sc3 Sc 0.159 0.293 0.209
Sc4 Sc 0.225 0.457 0.686
Ga1 Ga 0.000 0.481 0.413
Ga2 Ga 0.119 0.122 0.530
O1 O 0.000 0.249 0.044
```

Energy relative to the elements, uncorrected, eV per atom: -0.921

***

## Dy2Tm3Cd2 (GGA-PBE)

Data for a relaxed Dy2Tm3Cd2 crystal.

CIF file:
```
data_Dy2Tm3Cd2
_cell_length_a 5.3266
_cell_length_b 5.3266
_cell_length_c 23.6680
_cell_angle_alpha 90.00
_cell_angle_beta 90.00
_cell_angle_gamma 120.00
_symmetry_space_group_name_H-M 'R -3 m'
_symmetry_Int_Tables_number 166
_symmetry_space_group_name_Hall '-R 3 2"'
loop_
_atom_site_label
_atom_site_type_symbol
_atom_site_fract_x
_atom_site_fract_y
_atom_site_fract_z
Dy1 Dy 0.0000 0.0000 0.0747
Tm1 Tm 0.0000 0.0000 0.3443
Tm2 Tm 0.0000 0.0000 0.5000
Cd1 Cd 0.0000 0.0000 0.2125
```

Offset from the most stable computed form, meV/atom: 0
Energy relative to the elements, eV per atom: -0.15

***

## BaPr2In6 (GGA-PBE)

Data for a relaxed BaPr2In6 crystal.

CIF file:
```
data_BaPr2In6
_cell_length_a 8.8445
_cell_length_b 8.8445
_cell_length_c 3.8836
_cell_angle_alpha 90.00
_cell_angle_beta 90.00
_cell_angle_gamma 120.00
_symmetry_space_group_name_H-M 'P 6/m m m'
_symmetry_Int_Tables_number 191
_symmetry_space_group_name_Hall '-P 6 2'
loop_
_atom_site_label
_atom_site_type_symbol
_atom_site_fract_x
_atom_site_fract_y
_atom_site_fract_z
Ba1 Ba 0.0000 0.0000 0.0000
Pr1 Pr 0.3333 0.6667 0.0000
In1 In 0.0000 0.3388 0.5000
```

Energy relative to the elements, eV per atom: -0.42

***

## ZnCdPbO4 (GGA-PBE)

Data for a relaxed ZnCdPbO4 crystal.

CIF file:
```
data_ZnCdPbO4
_cell_length_a 6.387
_cell_length_b 6.707
_cell_length_c 9.236
_cell_angle_alpha 90.00
_cell_angle_beta 90.00
_cell_angle_gamma 90.00
_symmetry_space_group_name_H-M 'I m m a'
_symmetry_Int_Tables_number 74
_symmetry_space_group_name_Hall '-I 2b 2'
loop_
_atom_site_label
_atom_site_type_symbol
_atom_site_fract_x
_atom_site_fract_y
_atom_site_fract_z
Zn1 Zn 0.000 0.250 0.142
Cd1 Cd 0.250 0.250 0.750
Pb1 Pb 0.000 0.000 0.500
O1 O 0.000 0.001 0.736
O2 O 0.240 0.250 0.495
```

Energy relative to the elements, uncorrected, eV per atom: -1.045

***

## Ca3PrNd3Te8 (GGA-PBE)

Data for a relaxed Ca3PrNd3Te8 crystal.

CIF file:
```
data_Ca3PrNd3Te8
_cell_length_a 8.9516
_cell_length_b 8.9516
_cell_length_c 22.2379
_cell_angle_alpha 90.00
_cell_angle_beta 90.00
_cell_angle_gamma 120.00
_symmetry_space_group_name_H-M 'R -3 m'
_symmetry_Int_Tables_number 166
_symmetry_space_group_name_Hall '-R 3 2"'
loop_
_atom_site_label
_atom_site_type_symbol
_atom_site_fract_x
_atom_site_fract_y
_atom_site_fract_z
Ca1 Ca 0.0000 0.5000 0.0000
Pr1 Pr 0.0000 0.0000 0.5000
Nd1 Nd 0.0000 0.5000 0.5000
Te1 Te 0.0000 0.0000 0.2514
Te2 Te 0.0046 0.5023 0.7485
```

Energy relative to the elements, uncorrected, eV per atom: -1.520

***

## LiNdZnPb (GGA-PBE)

Data for a relaxed LiNdZnPb crystal.

CIF file:
```
data_LiNdZnPb
_cell_length_a 7.305
_cell_length_b 7.305
_cell_length_c 7.305
_cell_angle_alpha 90.00
_cell_angle_beta 90.00
_cell_angle_gamma 90.00
_symmetry_space_group_name_H-M 'F -4 3 m'
_symmetry_Int_Tables_number 216
_symmetry_space_group_name_Hall 'F -4 2 3'
loop_
_atom_site_label
_atom_site_type_symbol
_atom_site_fract_x
_atom_site_fract_y
_atom_site_fract_z
Li1 Li 0.000 0.000 0.000
Nd1 Nd 0.000 0.000 0.500
Zn1 Zn 0.250 0.250 0.250
Pb1 Pb 0.250 0.250 0.750
```

Energy relative to the elements, eV per atom: -0.34

***

## Na2PaHg (GGA-PBE)

Data for a relaxed Na2PaHg crystal.

CIF file:
```
data_Na2PaHg
_cell_length_a 3.1768
_cell_length_b 3.1768
_cell_length_c 36.8755
_cell_angle_alpha 90.00
_cell_angle_beta 90.00
_cell_angle_gamma 120.00
_symmetry_space_group_name_H-M 'R -3 m'
_symmetry_Int_Tables_number 166
_symmetry_space_group_name_Hall '-R 3 2"'
loop_
_atom_site_label
_atom_site_type_symbol
_atom_site_fract_x
_atom_site_fract_y
_atom_site_fract_z
Na1 Na 0.0000 0.0000 0.0918
Pa1 Pa 0.0000 0.0000 0.0000
Hg1 Hg 0.0000 0.0000 0.5000
```

Energy relative to the elements, eV per atom: 0.24

***

## Lu2HfIn (GGA-PBE)

Data for a relaxed Lu2HfIn crystal.

CIF file:
```
data_Lu2HfIn
_cell_length_a 3.3762
_cell_length_b 3.3762
_cell_length_c 31.4242
_cell_angle_alpha 90.00
_cell_angle_beta 90.00
_cell_angle_gamma 120.00
_symmetry_space_group_name_H-M 'R -3 m'
_symmetry_Int_Tables_number 166
_symmetry_space_group_name_Hall '-R 3 2"'
loop_
_atom_site_label
_atom_site_type_symbol
_atom_site_fract_x
_atom_site_fract_y
_atom_site_fract_z
Lu1 Lu 0.0000 0.0000 0.2491
Hf1 Hf 0.0000 0.0000 0.5000
In1 In 0.0000 0.0000 0.0000
```

Offset from the most stable computed form, meV/atom: 79
Energy relative to the elements, eV per atom: -0.11

***

## Li2HgRh2 (GGA-PBE)

Data for a relaxed Li2HgRh2 crystal.

CIF file:
```
data_Li2HgRh2
_cell_length_a 6.657
_cell_length_b 6.657
_cell_length_c 3.157
_cell_angle_alpha 90.00
_cell_angle_beta 90.00
_cell_angle_gamma 90.00
_symmetry_space_group_name_H-M 'P 4/m b m'
_symmetry_Int_Tables_number 127
_symmetry_space_group_name_Hall '-P 4 2ab'
loop_
_atom_site_label
_atom_site_type_symbol
_atom_site_fract_x
_atom_site_fract_y
_atom_site_fract_z
Li1 Li 0.125 0.375 0.000
Hg1 Hg 0.000 0.000 0.000
Rh1 Rh 0.172 0.672 0.500
```

Offset from the most stable computed form, meV/atom: 6
Energy relative to the elements, eV per atom: 0.01

***

## Sc6C7 (GGA-PBE)

Data for a relaxed Sc6C7 crystal.

CIF file:
```
data_Sc6C7
_cell_length_a 4.5396
_cell_length_b 4.5396
_cell_length_c 28.6859
_cell_angle_alpha 90.00
_cell_angle_beta 90.00
_cell_angle_gamma 120.00
_symmetry_space_group_name_H-M 'R -3 m'
_symmetry_Int_Tables_number 166
_symmetry_space_group_name_Hall '-R 3 2"'
loop_
_atom_site_label
_atom_site_type_symbol
_atom_site_fract_x
_atom_site_fract_y
_atom_site_fract_z
Sc1 Sc 0.0000 0.0000 0.0674
Sc2 Sc 0.0000 0.0000 0.2019
Sc3 Sc 0.0000 0.0000 0.3201
C1 C 0.0000 0.0000 0.5000
C2 C 0.1109 0.2217 0.3990
```

Energy relative to the elements, eV per atom: 0.21

***

## Cd4Ni (GGA-PBE)

Data for a relaxed Cd4Ni crystal.

CIF file:
```
data_Cd4Ni
_cell_length_a 5.955
_cell_length_b 5.955
_cell_length_c 5.903
_cell_angle_alpha 90.00
_cell_angle_beta 90.00
_cell_angle_gamma 90.00
_symmetry_space_group_name_H-M 'P 4/n b m'
_symmetry_Int_Tables_number 125
loop_
_symmetry_equiv_pos_as_xyz
'x,y,z'
'-x,-y,-z'
'-y+1/2,x,z'
'y+1/2,-x,-z'
'-x+1/2,-y+1/2,z'
'x+1/2,y+1/2,-z'
'y,-x+1/2,z'
'-y,x+1/2,-z'
'x,-y+1/2,-z'
'-x,y+1/2,z'
'-y+1/2,-x+1/2,-z'
'y+1/2,x+1/2,z'
'-x+1/2,y,-z'
'x+1/2,-y,z'
'y,x,-z'
'-y,-x,z'
loop_
_atom_site_label
_atom_site_type_symbol
_atom_site_fract_x
_atom_site_fract_y
_atom_site_fract_z
Cd1 Cd 0.070 0.570 0.238
Ni1 Ni 0.250 0.250 0.500
```

Energy relative to the elements, eV per atom: 0.07

***

## Y7Cd2Au2 (GGA-PBE)

Data for a relaxed Y7Cd2Au2 crystal.

CIF file:
```
data_Y7Cd2Au2
_cell_length_a 8.051
_cell_length_b 11.219
_cell_length_c 7.324
_cell_angle_alpha 90.00
_cell_angle_beta 90.00
_cell_angle_gamma 90.00
_symmetry_space_group_name_H-M 'C m m m'
_symmetry_Int_Tables_number 65
_symmetry_space_group_name_Hall '-C 2 2'
loop_
_atom_site_label
_atom_site_type_symbol
_atom_site_fract_x
_atom_site_fract_y
_atom_site_fract_z
Y1 Y 0.000 0.000 0.000
Y2 Y 0.000 0.500 0.255
Y3 Y 0.250 0.250 0.267
Cd1 Cd 0.174 0.000 0.500
Au1 Au 0.000 0.294 0.000
```

Energy relative to the elements, eV per atom: -0.25

***

## GaHPd3 (GGA-PBE)

Data for a relaxed GaHPd3 crystal.

CIF file:
```
data_GaHPd3
_cell_length_a 7.128
_cell_length_b 5.090
_cell_length_c 7.925
_cell_angle_alpha 90.00
_cell_angle_beta 114.94
_cell_angle_gamma 90.00
_symmetry_space_group_name_H-M 'P 1 21/c 1'
_symmetry_Int_Tables_number 14
loop_
_symmetry_equiv_pos_as_xyz
'x,y,z'
'-x,-y,-z'
'-x,y+1/2,-z+1/2'
'x,-y+1/2,z+1/2'
loop_
_atom_site_label
_atom_site_type_symbol
_atom_site_fract_x
_atom_site_fract_y
_atom_site_fract_z
Ga1 Ga 0.120 0.186 0.125
H1 H 0.430 0.743 0.356
Pd1 Pd 0.128 0.667 0.214
Pd2 Pd 0.302 0.077 0.464
Pd3 Pd 0.444 0.573 0.646
```

Offset from the most stable computed form, meV/atom: 121

***

Sequential ρ output: 8.53, 14.01, 6.93, 18.29, 8.34, 8.08, 6.81, 4.08, 9.05, 6.99, 7.54, 5.54, 7.22, 7.38, 10.33, 9.98, 3.44, 8.06, 6.23, 9.94 g cm⁻³